Crystalline Ba2Cr7O14 at its relaxed geometry. Source: Alexandria, functional PBE with a Hubbard U.

Properties
DFT total energy   -7.482 eV per atom
Density   5.106 g/cm3

Lattice parameters (Å, degrees): 9.9478 9.9478 9.9478 34.42 34.42 34.42
Positions (direct):
Ba  0.2110  0.2110  0.2110
Ba  0.7890  0.7890  0.7890
Cr  0.0000  0.5000  0.5000
Cr  0.0726  0.0726  0.0726
Cr  0.4380  0.4380  0.4380
Cr  0.5000  0.0000  0.5000
Cr  0.5000  0.5000  0.0000
Cr  0.5620  0.5620  0.5620
Cr  0.9274  0.9274  0.9274
O  0.1354  0.1354  0.6132
O  0.1354  0.6132  0.1354
O  0.2067  0.7191  0.7191
O  0.2809  0.2809  0.7933
O  0.2809  0.7933  0.2809
O  0.3708  0.3708  0.3708
O  0.3868  0.8646  0.8646
O  0.6132  0.1354  0.1354
O  0.6292  0.6292  0.6292
O  0.7191  0.2067  0.7191
O  0.7191  0.7191  0.2067
O  0.7933  0.2809  0.2809
O  0.8646  0.3868  0.8646
O  0.8646  0.8646  0.3868